[1]
Computed, not measured: a crystal of Ba4LiY2Cu5O14 relaxed with PBEsol at the SCAN level of DFT.

## Properties
magnetization = 0.0 μB/f.u.
E_form (uncorrected) = -2.1509 eV/atom
symmetry = No. 8

Cell and atoms, written as POSCAR:
```
Ba4LiY2Cu5O14
1.0
5.4084 -0.0002 -0.0012
-0.0924 5.4076 -0.0012
-2.6577 -2.7034 11.5721
Ba Li Y Cu O
4 1 2 5 14
Direct
0.0946 0.5946 0.1862
0.4108 0.9108 0.8182
0.5946 0.0946 0.1862
0.9108 0.4108 0.8182
0.1681 0.1681 0.3333
0.2505 0.7505 0.4978
0.7505 0.2505 0.4978
0.0023 0.0023 0.0016
0.5008 0.5008 0.9985
0.8265 0.8265 0.6497
0.3268 0.3268 0.6503
0.6871 0.6871 0.3711
0.2535 0.7535 0.0011
0.4526 0.9306 0.3801
0.5792 0.5792 0.1558
0.9347 0.9347 0.3807
0.7535 0.2535 0.0011
0.0645 0.5634 0.6245
0.9306 0.4526 0.3801
0.9225 0.9225 0.8419
0.0819 0.0819 0.1614
0.5637 0.5637 0.6247
0.4491 0.4491 0.3807
0.5634 0.0645 0.6245
0.4211 0.4211 0.8391
0.0643 0.0643 0.6247
```

[2]
Computed, not measured: a crystal of Ba2MgCu relaxed with PBEsol at the SCAN level of DFT.

## Properties
magnetization = 0.0 μB/f.u.
symmetry = No. 99
energy of formation from the pure elements = 0.0960 eV per atom

Cell and atoms, written as POSCAR:
```
Ba2MgCu
1.0
-2.5367 -2.1914 -1.7285
0.9426 -2.8711 2.2567
-6.5247 2.6968 6.1564
Ba Cu Mg
2 1 1
Direct
0.0000 0.0000 0.9360
0.5000 0.5000 0.3298
0.0000 0.0000 0.5596
0.5000 0.5000 0.6746
```

Values for mass density, g/cm³, ordered as above
6.26, 4.52
Values for E_tot, eV per atom, ordered as above
-16.747, -24.722